Material: Zr2CrPt
Method: DFT, PBE-GGA
State: optimized geometry

abc: 3.308 4.411 5.403
angles: 90.00 106.14 90.00
Space group Pm (No. 6)
Symmetry-distinct sites (fractional):
Zr 0.000 0.000 0.000 x1
Zr 0.280 0.500 0.592 x1
Cr 0.565 0.500 0.127 x1
Pt 0.714 0.000 0.454 x1

Calculated values
DOS(E_F) ... 3.7 states/eV/f.u.
Excess energy over the best structure of this formula in the dataset ... 0.09 eV/f.u.
Calculated formation energy ... -376 meV/atom